The following is a DFT calculation (GGA-PBE) of a geometry-optimized ZrScPd structure.

Results
The space-group type is C2/m, No. 12. The value obtained for the energy above the most stable polymorph in this dataset is 49 meV per atom.

The structure in extended XYZ format:
```
12
Lattice="-2.9667 -4.3173 -4.1447 2.5451 -2.1241 0.3908 -3.5994 -2.3806 10.5025" Properties=species:S:1:pos:R:3 pbc="T T T"
Zr -3.2140 -3.7051 0.7929
Zr -3.7411 -5.9574 6.2396
Zr -0.2799 -2.8645 0.5090
Zr -3.3521 -2.9927 5.5649
Sc -1.6924 -4.9568 -1.6647
Sc -1.8015 -1.6127 2.9666
Sc -2.3286 -3.8651 8.4133
Sc -4.7646 -5.0851 3.3912
Pd 0.0000 0.0000 0.0000
Pd -0.5272 -2.2523 5.4467
Pd -1.4833 -2.1586 -2.0724
Pd -2.0105 -4.4109 3.3743
```

The following is a DFT calculation (GGA-PBE) of a geometry-optimized ZrSc3Pd12 structure.

Results
The space-group type is P4/mmm, No. 123.

The structure in extended XYZ format:
```
16
Lattice="4.0222 0.0000 0.0000 0.0000 4.0222 0.0000 0.0000 0.0000 16.0082" Properties=species:S:1:pos:R:3 pbc="T T T"
Pd 2.0111 2.0111 12.0050
Pd 2.0111 2.0111 8.0041
Pd 0.0000 2.0111 10.0050
Pd 2.0111 2.0111 0.0000
Pd 2.0111 0.0000 1.9996
Pd 2.0111 0.0000 6.0032
Pd 2.0111 0.0000 10.0050
Pd 0.0000 2.0111 6.0032
Pd 0.0000 2.0111 1.9996
Pd 2.0111 0.0000 14.0086
Pd 2.0111 2.0111 4.0031
Pd 0.0000 2.0111 14.0086
Sc 0.0000 0.0000 4.0263
Sc 0.0000 0.0000 8.0041
Sc 0.0000 0.0000 11.9819
Zr 0.0000 0.0000 0.0000
```

The following is a DFT calculation (GGA-PBE) of a geometry-optimized ZrSc3Pd structure.

Results
The space-group type is Pm-3m, No. 221. The value obtained for the energy above the most stable polymorph in this dataset is 676 meV per atom.

The structure in extended XYZ format:
```
5
Lattice="-2.2013 2.1660 3.9485 3.2254 -2.3091 3.0648 3.1431 3.8865 -0.3796" Properties=species:S:1:pos:R:3 pbc="T T T"
Pd 2.0836 1.8717 3.3168
Zr 0.0000 0.0000 0.0000
Sc 1.5716 1.9432 -0.1898
Sc -1.1007 1.0830 1.9742
Sc 1.6127 -1.1545 1.5324
```

no.,energy relative to the elements (eV per atom),total DFT energy (no corrections) (eV per cell)
1,-0.507,-86.4
2,-0.843,-103.3
3,0.774,-28.9